# 1
A relaxed Li2TmPb3 crystal. Source: Alexandria via LeMat-Bulk, functional GGA-PBE.

Cell and atoms, written as POSCAR:
```
Li2TmPb3
1.0
3.539 0.000 0.000
0.000 3.539 0.000
0.000 0.000 11.640
Li Tm Pb
2 1 3
Direct
0.000 0.000 0.158 Li
0.000 0.000 0.842 Li
0.000 0.000 0.500 Tm
0.500 0.500 0.000 Pb
0.500 0.500 0.310 Pb
0.500 0.500 0.690 Pb
```

Summary:
Energy = -3.5413 eV per atom
Size of the total moment = 0.00 μB/f.u.

***

# 2
A relaxed LiTmPb crystal. Source: Alexandria via LeMat-Bulk, functional GGA-PBE.

Cell and atoms, written as POSCAR:
```
LiTmPb
1.0
4.402 0.000 0.000
0.000 4.402 0.000
0.000 0.000 7.468
Li Tm Pb
2 2 2
Direct
0.250 0.750 0.000 Li
0.750 0.250 0.000 Li
0.250 0.250 0.335 Tm
0.750 0.750 0.665 Tm
0.250 0.250 0.754 Pb
0.750 0.750 0.246 Pb
```

Summary:
Energy = -3.7864 eV per atom
Size of the total moment = 0.00 μB/f.u.

***

# 3
A relaxed LiTmPb2 crystal. Source: Alexandria via LeMat-Bulk, functional GGA-PBE.

Cell and atoms, written as POSCAR:
```
LiTmPb2
1.0
2.236 1.291 6.581
-2.236 1.291 6.581
0.000 -2.582 6.581
Li Tm Pb
1 1 2
Direct
0.000 0.000 0.000 Li
0.183 0.183 0.183 Tm
0.601 0.601 0.601 Pb
0.751 0.751 0.751 Pb
```

Summary:
Energy = -3.5810 eV per atom
Size of the total moment = 0.00 μB/f.u.

***

# 4
A relaxed Li2Tm5Pb5 crystal. Source: Alexandria via LeMat-Bulk, functional GGA-PBE.

Cell and atoms, written as POSCAR:
```
Li2Tm5Pb5
1.0
8.142 -2.325 0.000
8.142 2.325 0.000
-6.537 0.000 8.142
Li Tm Pb
2 5 5
Direct
0.147 0.147 0.262 Li
0.853 0.853 0.738 Li
0.314 0.314 0.172 Tm
0.398 0.398 0.579 Tm
0.500 0.500 0.000 Tm
0.602 0.602 0.421 Tm
0.686 0.686 0.828 Tm
0.000 0.000 0.500 Pb
0.066 0.066 0.872 Pb
0.251 0.251 0.686 Pb
0.749 0.749 0.314 Pb
0.934 0.934 0.128 Pb
```

Summary:
Size of the total moment = 0.00 μB/f.u.
Energy above the lowest structure with this stoichiometry = 0.0 kJ per mole of atoms

***

# 5
A relaxed LiTmPb2 crystal. Source: Alexandria via LeMat-Bulk, functional GGA-PBE.

Cell and atoms, written as POSCAR:
```
LiTmPb2
1.0
1.799 1.039 9.636
-1.799 1.039 9.636
0.000 -2.077 9.636
Li Tm Pb
1 1 2
Direct
0.000 0.000 0.000 Li
0.500 0.500 0.500 Tm
0.255 0.255 0.255 Pb
0.745 0.745 0.745 Pb
```

Summary:
Energy = -3.6847 eV per atom
Size of the total moment = 0.00 μB/f.u.

***

# 6
A relaxed LiTm7Pb4 crystal. Source: Alexandria via LeMat-Bulk, functional GGA-PBE.

Cell and atoms, written as POSCAR:
```
LiTm7Pb4
1.0
7.637 -2.697 0.000
7.637 2.697 0.000
-7.005 0.000 8.722
Li Tm Pb
1 7 4
Direct
0.000 0.000 0.000 Li
0.082 0.082 0.318 Tm
0.208 0.208 0.864 Tm
0.353 0.353 0.425 Tm
0.500 0.500 0.000 Tm
0.647 0.647 0.575 Tm
0.792 0.792 0.136 Tm
0.918 0.918 0.682 Tm
0.283 0.283 0.664 Pb
0.424 0.424 0.216 Pb
0.576 0.576 0.784 Pb
0.717 0.717 0.336 Pb
```

Summary:
Energy = -4.0712 eV per atom
Size of the total moment = 0.00 μB/f.u.

***

# 7
A relaxed LiTm3Pb4 crystal. Source: Alexandria via LeMat-Bulk, functional GGA-PBE.

Cell and atoms, written as POSCAR:
```
LiTm3Pb4
1.0
-2.448 2.448 8.827
2.448 -2.448 8.827
2.448 2.448 -8.827
Li Tm Pb
1 3 4
Direct
0.000 0.000 0.000 Li
0.254 0.254 0.000 Tm
0.500 0.500 0.000 Tm
0.746 0.746 0.000 Tm
0.122 0.622 0.500 Pb
0.378 0.878 0.500 Pb
0.622 0.122 0.500 Pb
0.878 0.378 0.500 Pb
```

Summary:
Energy = -4.1182 eV per atom
Size of the total moment = 0.00 μB/f.u.

***

# 8
A relaxed Li4TmPb crystal. Source: Alexandria via LeMat-Bulk, functional GGA-PBE.

Cell and atoms, written as POSCAR:
```
Li4TmPb
1.0
0.000 3.952 3.952
3.952 0.000 3.952
3.952 3.952 0.000
Li Tm Pb
4 1 1
Direct
0.124 0.124 0.124 Li
0.124 0.124 0.627 Li
0.124 0.627 0.124 Li
0.627 0.124 0.124 Li
0.750 0.750 0.750 Tm
0.500 0.500 0.500 Pb
```

Summary:
Energy = -2.7338 eV per atom
Size of the total moment = 0.00 μB/f.u.

***

# 9
A relaxed Li2TmPb3 crystal. Source: Alexandria via LeMat-Bulk, functional GGA-PBE.

Cell and atoms, written as POSCAR:
```
Li2TmPb3
1.0
2.507 -7.746 0.000
2.507 7.746 0.000
0.000 0.000 7.573
Li Tm Pb
4 2 6
Direct
0.000 0.000 0.000 Li
0.000 0.000 0.500 Li
0.337 0.663 0.000 Li
0.663 0.337 0.000 Li
0.340 0.660 0.500 Tm
0.660 0.340 0.500 Tm
0.165 0.835 0.231 Pb
0.165 0.835 0.769 Pb
0.500 0.500 0.233 Pb
0.500 0.500 0.767 Pb
0.835 0.165 0.231 Pb
0.835 0.165 0.769 Pb
```

Summary:
Energy = -3.5416 eV per atom
Size of the total moment = 0.00 μB/f.u.

***

# 10
A relaxed LiTm2Pb6 crystal. Source: Alexandria via LeMat-Bulk, functional GGA-PBE.

Cell and atoms, written as POSCAR:
```
LiTm2Pb6
1.0
7.947 -3.638 0.000
7.947 3.638 0.000
-1.229 0.000 4.790
Li Tm Pb
1 2 6
Direct
0.000 0.000 0.000 Li
0.340 0.340 0.372 Tm
0.660 0.660 0.628 Tm
0.064 0.615 0.868 Pb
0.219 0.781 0.500 Pb
0.385 0.936 0.132 Pb
0.615 0.064 0.868 Pb
0.781 0.219 0.500 Pb
0.936 0.385 0.132 Pb
```

Summary:
Energy = -3.7788 eV per atom
Size of the total moment = 0.00 μB/f.u.

***

# 11
A relaxed LiTm3Pb12 crystal. Source: Alexandria via LeMat-Bulk, functional GGA-PBE.

Cell and atoms, written as POSCAR:
```
LiTm3Pb12
1.0
4.828 0.000 0.000
0.000 4.828 0.000
0.000 0.000 19.645
Li Tm Pb
1 3 12
Direct
0.000 0.000 0.000 Li
0.000 0.000 0.253 Tm
0.000 0.000 0.500 Tm
0.000 0.000 0.747 Tm
0.000 0.500 0.122 Pb
0.000 0.500 0.375 Pb
0.000 0.500 0.625 Pb
0.000 0.500 0.878 Pb
0.500 0.000 0.122 Pb
0.500 0.000 0.375 Pb
0.500 0.000 0.625 Pb
0.500 0.000 0.878 Pb
0.500 0.500 0.000 Pb
0.500 0.500 0.248 Pb
0.500 0.500 0.500 Pb
0.500 0.500 0.752 Pb
```

Summary:
Energy = -3.9366 eV per atom
Size of the total moment = 0.00 μB/f.u.

***

# 12
A relaxed LiTm2Pb9 crystal. Source: Alexandria via LeMat-Bulk, functional GGA-PBE.

Cell and atoms, written as POSCAR:
```
LiTm2Pb9
1.0
4.819 0.000 0.000
0.000 4.819 0.000
0.000 0.000 14.727
Li Tm Pb
1 2 9
Direct
0.000 0.000 0.000 Li
0.000 0.000 0.336 Tm
0.000 0.000 0.664 Tm
0.000 0.500 0.163 Pb
0.000 0.500 0.500 Pb
0.000 0.500 0.837 Pb
0.500 0.000 0.163 Pb
0.500 0.000 0.500 Pb
0.500 0.000 0.837 Pb
0.500 0.500 0.000 Pb
0.500 0.500 0.330 Pb
0.500 0.500 0.670 Pb
```

Summary:
Energy = -3.8779 eV per atom
Size of the total moment = 0.00 μB/f.u.

***

Number 1: theoretical density 9.16 g/cm³. Number 2: theoretical density 8.79 g/cm³. Number 3: theoretical density 8.60 g/cm³. Number 4: theoretical density 10.21 g/cm³. Number 5: theoretical density 9.08 g/cm³. Number 6: theoretical density 9.33 g/cm³. Number 7: theoretical density 10.54 g/cm³. Number 8: theoretical density 5.43 g/cm³. Number 9: theoretical density 9.08 g/cm³. Number 10: theoretical density 9.52 g/cm³. Number 11: theoretical density 10.88 g/cm³. Number 12: theoretical density 10.73 g/cm³.